Entry 1:
## GdScBi (PBE)

Data for a relaxed GdScBi crystal.

Output
- Total DFT energy (no corrections): -8.403 eV/atom
- Fermi-level density of states: 5.337 states/eV/f.u.
- ΔH_f (0 K): -29.4 kJ per mole of atoms

Structure (POSCAR):
```
GdScBi
1.0
-1.419 -1.369 -3.406
4.691 -0.890 -1.596
-2.532 -3.569 2.489
Bi Gd Sc
1 1 1
Cartesian
-0.236 -0.228 -0.567
-1.070 -3.589 -1.143
2.047 -2.012 -0.802
```

Entry 2:
## GdBiSe2 (PBE)

Data for a relaxed GdBiSe2 crystal.

Output
- Total DFT energy (no corrections): -6.672 eV/atom
- Fermi-level density of states: 5.289 states/eV/f.u.
- Raw formation energy: -0.44 eV per atom

Structure (POSCAR):
```
GdBiSe2
1.0
-2.917 0.533 2.945
1.050 -0.191 4.040
1.002 9.012 2.326
Gd Se Bi
1 2 1
Cartesian
0.000 0.000 0.000
0.491 6.213 2.327
-1.356 3.142 6.984
-0.432 4.678 4.655
```

Entry 3:
## Gd2BiSe (PBE)

Data for a relaxed Gd2BiSe crystal.

Output
- Total DFT energy (no corrections): -10.237 eV/atom
- Fermi-level density of states: 3.920 states/eV/f.u.
- Raw formation energy: -1.36 eV per atom

Structure (POSCAR):
```
Gd2BiSe
1.0
-1.004 -0.197 4.199
2.816 -1.675 2.820
3.443 5.797 3.319
Gd Se Bi
2 1 1
Cartesian
1.255 0.849 2.564
3.999 3.076 7.774
0.000 0.000 0.000
2.627 1.963 5.169
```

Entry 4:
## SmGd2Bi (PBE)

Data for a relaxed SmGd2Bi crystal.

Output
- Total DFT energy (no corrections): -9.587 eV/atom
- Fermi-level density of states: 5.170 states/eV/f.u.
- ΔH_f (0 K): -38.3 kJ per mole of atoms

Structure (POSCAR):
```
SmGd2Bi
1.0
4.119 0.000 0.000
0.000 4.119 0.000
0.000 0.000 7.317
Sm Gd Bi
1 2 1
Cartesian
2.060 2.060 3.658
0.000 0.000 1.640
0.000 0.000 5.677
2.060 2.060 0.000
```

Entry 5:
## SmGdBi2 (PBE)

Data for a relaxed SmGdBi2 crystal.

Output
- Total DFT energy (no corrections): -7.557 eV/atom
- Fermi-level density of states: 2.053 states/eV/f.u.
- ΔH_f (0 K): -88.4 kJ per mole of atoms

Structure (POSCAR):
```
SmGdBi2
1.0
4.539 0.000 0.000
2.269 3.930 0.000
2.269 1.310 7.410
Sm Bi Gd
1 2 1
Cartesian
4.539 2.620 3.705
6.808 3.930 5.584
2.269 1.310 1.826
0.000 0.000 0.000
```

Entry 6:
## SmGd2Bi (PBE)

Data for a relaxed SmGd2Bi crystal.

Output
- Total DFT energy (no corrections): -9.178 eV/atom
- Fermi-level density of states: 5.042 states/eV/f.u.
- ΔH_f (0 K): 1.2 kJ per mole of atoms

Structure (POSCAR):
```
SmGd2Bi
1.0
3.571 0.000 0.000
1.786 3.093 0.000
1.786 1.031 12.194
Gd Bi Sm
2 1 1
Cartesian
5.357 3.093 3.185
1.786 1.031 9.008
0.000 0.000 0.000
3.571 2.062 6.097
```

Entry 7:
## SmGdBi (PBE)

Data for a relaxed SmGdBi crystal.

Output
- Total DFT energy (no corrections): -7.865 eV/atom
- Fermi-level density of states: 3.821 states/eV/f.u.
- ΔH_f (0 K): -29.3 kJ per mole of atoms

Structure (POSCAR):
```
SmGdBi
1.0
3.934 0.000 0.000
0.000 5.317 0.000
0.000 -2.658 4.604
Sm Bi Gd
1 1 1
Cartesian
1.087 2.658 1.535
3.877 0.000 0.000
2.904 0.000 3.070
```

Entry 8:
## Sm12Gd3Bi5 (PBE)

Data for a relaxed Sm12Gd3Bi5 crystal.

Output
- Total DFT energy (no corrections): -5.743 eV/atom
- Fermi-level density of states: 28.868 states/eV/f.u.
- ΔH_f (0 K): 16.5 kJ per mole of atoms

Structure (POSCAR):
```
Sm12Gd3Bi5
1.0
-7.609 14.373 -0.043
-10.023 -11.457 -5.724
4.408 -3.755 15.197
Sm Bi Gd
48 20 12
Cartesian
-8.834 -0.459 2.472
-12.945 1.783 3.636
-3.475 -9.095 7.440
-8.879 -2.191 6.016
-9.000 -9.764 -3.262
-7.057 2.392 6.083
-15.392 1.062 -4.534
-2.363 4.321 4.676
-7.990 -4.828 -2.320
-8.709 4.623 3.124
-9.804 -1.540 -2.793
-10.860 -5.159 4.754
-7.300 -5.761 8.852
-5.924 4.923 0.578
-6.724 0.096 -0.949
-1.066 -7.259 10.140
-8.920 -8.346 6.349
-6.523 8.791 0.082
-3.419 0.702 12.223
-1.772 2.176 7.934
-10.783 2.898 -0.876
-4.344 1.353 3.413
-9.749 8.256 1.989
-14.112 0.583 -1.004
-6.166 -3.231 3.347
-6.700 -9.629 9.348
-8.514 -5.646 1.619
0.889 -1.421 10.434
-8.583 2.214 10.657
-0.279 -2.622 5.794
-12.157 6.421 -0.710
-6.499 -0.935 10.378
-11.451 -3.014 1.495
-4.389 -0.379 6.958
-7.455 7.761 5.162
-1.484 -1.354 2.437
-4.794 9.780 9.048
-4.640 -3.052 -1.227
-11.739 0.516 6.993
-5.234 3.990 11.750
-2.440 -3.736 10.305
-4.710 4.808 7.811
-5.768 -8.599 4.268
-4.514 -5.461 6.306
-4.224 8.926 12.692
-8.430 -10.619 0.381
-4.303 7.507 3.081
2.168 -1.901 13.964
-4.808 2.056 0.452
-6.612 -0.419 4.715
-6.815 -8.204 1.400
-12.423 -1.980 -1.236
-5.011 -5.728 -2.862
-2.807 -7.606 4.736
-10.121 -6.901 -3.120
-0.800 1.142 10.666
0.000 0.000 0.000
-10.318 2.211 2.089
-3.804 7.186 -0.021
-6.408 7.366 8.029
-3.102 6.062 12.550
-3.608 -3.438 1.647
-1.600 5.309 7.577
-9.616 2.600 7.782
2.204 -1.877 7.598
-8.816 1.458 -2.884
-8.415 -2.895 8.977
-2.906 -3.050 7.341
0.400 -4.353 11.861
-5.608 4.711 4.241
-8.015 -2.709 0.205
-4.309 -6.852 9.709
-6.809 10.206 3.046
-11.721 -1.592 4.457
-1.502 0.753 4.973
-8.914 6.014 -0.279
-13.624 3.514 -2.431
-6.415 -11.044 6.384
-5.208 1.871 9.224
-7.615 -5.549 5.189
```